[1]
This record from Alexandria via LeMat-Bulk describes a geometry-optimized Cr2InBr structure. The functional is GGA-PBE.

```
Cr2InBr
1.0
3.302 0.000 0.000
0.000 3.302 0.000
0.000 0.000 7.531
Br Cr In
1 2 1
Direct
0.500 0.500 0.750 Br
0.000 0.000 0.010 Cr
0.000 0.000 0.490 Cr
0.500 0.500 0.250 In
```

Values from the calculation:
Final energy ... -21.89 eV for the cell shown
Symmetry ... P4/mmm (123)
Crystal system ... tetragonal
Energy above the lowest structure with this stoichiometry ... 227.3 meV/atom
DOS at the Fermi energy ... 1.48 states/eV per cell


[2]
This record from Alexandria via LeMat-Bulk describes a geometry-optimized Y6Te2S structure. The functional is GGA-PBE.

```
Y6Te2S
1.0
-0.623 -1.317 -3.773
0.984 -5.214 3.825
-9.654 -0.771 1.863
Y Te S
6 2 1
Direct
0.863 0.727 0.448 Y
0.137 0.273 0.552 Y
0.863 0.726 0.045 Y
0.137 0.274 0.955 Y
0.556 0.112 0.232 Y
0.444 0.888 0.768 Y
0.252 0.505 0.253 Te
0.748 0.495 0.747 Te
0.500 0.000 0.500 S
```

Values from the calculation:
Final energy ... -58.71 eV for the cell shown
Symmetry ... C2/m (12)
Crystal system ... monoclinic
DOS at the Fermi energy ... 8.73 states/eV per cell


[3]
This record from Alexandria via LeMat-Bulk describes a geometry-optimized Ho2NbGe3 structure. The functional is GGA-PBE.

```
Ho2NbGe3
1.0
-2.086 2.996 1.236
-4.719 -2.800 -1.179
3.382 -2.436 5.606
Ho Nb Ge
2 1 3
Direct
0.671 0.171 0.342 Ho
0.329 0.829 0.658 Ho
0.000 0.500 0.000 Nb
0.349 0.349 0.697 Ge
0.000 0.000 0.000 Ge
0.651 0.651 0.303 Ge
```

Values from the calculation:
Final energy ... -36.33 eV for the cell shown
Symmetry ... Immm (71)
Crystal system ... orthorhombic
DOS at the Fermi energy ... 2.50 states/eV per cell
ΔE_f ... -0.542 eV per atom


[4]
This record from Alexandria via LeMat-Bulk describes a geometry-optimized Mg2CdMo structure. The functional is GGA-PBE.

```
Mg2CdMo
1.0
5.277 0.010 0.000
1.997 4.884 0.000
-3.637 -2.447 2.937
Cd Mg Mo
1 2 1
Direct
0.750 0.250 0.500 Cd
0.000 0.000 0.000 Mg
0.250 0.750 0.500 Mg
0.500 0.500 0.000 Mo
```

Values from the calculation:
Final energy ... -13.43 eV for the cell shown
Symmetry ... I-4m2 (119)
Crystal system ... tetragonal
DOS at the Fermi energy ... 3.98 states/eV per cell
ΔE_f ... 0.377 eV per atom


[5]
This record from Alexandria via LeMat-Bulk describes a geometry-optimized Sc3GaN structure. The functional is GGA-PBE.

```
Sc3GaN
1.0
-1.023 -6.036 -3.141
1.137 -0.842 3.009
-7.303 0.413 2.876
Sc Ga N
6 2 2
Direct
0.792 0.277 0.614 Sc
0.604 0.183 0.116 Sc
0.001 0.881 0.326 Sc
0.396 0.578 0.403 Sc
0.191 0.976 0.683 Sc
0.205 0.483 0.047 Sc
0.514 0.637 0.804 Ga
0.883 0.822 0.926 Ga
0.308 0.035 0.221 N
0.089 0.425 0.508 N
```

Values from the calculation:
Final energy ... -70.74 eV for the cell shown
Symmetry ... C2/m (12)
Crystal system ... monoclinic
DOS at the Fermi energy ... 7.29 states/eV per cell


[6]
This record from Alexandria via LeMat-Bulk describes a geometry-optimized LaTbMg structure. The functional is GGA-PBE.

```
LaTbMg
1.0
5.395 0.000 0.000
0.000 5.134 -1.622
0.000 -0.626 6.943
La Tb Mg
2 2 2
Direct
0.750 0.589 0.679 La
0.250 0.411 0.321 La
0.750 0.904 0.307 Tb
0.250 0.096 0.693 Tb
0.750 0.251 0.002 Mg
0.250 0.749 0.998 Mg
```

Values from the calculation:
Final energy ... -22.59 eV for the cell shown
Symmetry ... Cmcm (63)
Crystal system ... orthorhombic
Energy above the lowest structure with this stoichiometry ... 0.0 meV/atom
DOS at the Fermi energy ... 6.95 states/eV per cell
ΔE_f ... -0.048 eV per atom


[7]
This record from Alexandria via LeMat-Bulk describes a geometry-optimized NaNiBr4 structure. The functional is GGA-PBE.

```
NaNiBr4
1.0
-2.572 -0.219 2.880
3.453 -5.347 1.256
3.198 5.568 3.301
Na Ni Br
1 1 4
Direct
0.500 0.000 0.500 Na
0.000 0.000 0.000 Ni
0.933 0.763 0.668 Br
0.067 0.237 0.332 Br
0.376 0.770 0.073 Br
0.624 0.230 0.927 Br
```

Values from the calculation:
Final energy ... -17.62 eV for the cell shown
Symmetry ... P-1 (2)
Crystal system ... triclinic


[8]
This record from Alexandria via LeMat-Bulk describes a geometry-optimized NaPuSn structure. The functional is GGA-PBE.

```
NaPuSn
1.0
-0.400 3.083 -1.065
-2.915 0.144 1.510
5.166 1.093 6.292
Na Sn Pu
1 1 1
Direct
0.633 0.633 0.266 Na
0.284 0.284 0.568 Sn
0.933 0.933 0.867 Pu
```

Values from the calculation:
Final energy ... -19.65 eV for the cell shown
Symmetry ... I4mm (107)
Crystal system ... tetragonal
DOS at the Fermi energy ... 8.06 states/eV per cell
ΔE_f ... 0.001 eV per atom


[9]
This record from Alexandria via LeMat-Bulk describes a geometry-optimized BaSF2 structure. The functional is GGA-PBE.

```
BaSF2
1.0
2.504 0.000 5.397
-1.252 2.169 5.397
-1.252 -2.169 5.397
S Ba F
1 1 2
Direct
0.500 0.500 0.500 S
0.000 0.000 0.000 Ba
0.729 0.729 0.729 F
0.271 0.271 0.271 F
```

Values from the calculation:
Final energy ... -17.97 eV for the cell shown
Symmetry ... R-3m (166)
Crystal system ... trigonal
Energy above the lowest structure with this stoichiometry ... 314.6 meV/atom
DOS at the Fermi energy ... 0.00 states/eV per cell


[10]
This record from Alexandria via LeMat-Bulk describes a geometry-optimized SrLi2AlAu structure. The functional is GGA-PBE.

```
SrLi2AlAu
1.0
5.026 0.000 0.000
0.000 5.026 0.000
0.000 0.000 4.883
Sr Au Al Li
1 1 1 2
Direct
0.500 0.500 0.500 Sr
0.000 0.000 0.000 Au
0.000 0.000 0.500 Al
0.000 0.500 0.000 Li
0.500 0.000 0.000 Li
```

Values from the calculation:
Final energy ... -13.91 eV for the cell shown
Symmetry ... P4/mmm (123)
Crystal system ... tetragonal
DOS at the Fermi energy ... 1.94 states/eV per cell
ΔE_f ... -0.277 eV per atom


[11]
This record from Alexandria via LeMat-Bulk describes a geometry-optimized TiTlICl4 structure. The functional is GGA-PBE.

```
TiTlICl4
1.0
8.725 -0.270 -0.148
2.635 8.322 -0.148
2.146 1.521 9.147
Ti Tl I Cl
2 2 2 8
Direct
0.644 0.644 0.726 Ti
0.356 0.356 0.274 Ti
0.160 0.160 0.931 Tl
0.840 0.840 0.069 Tl
0.007 0.007 0.239 I
0.993 0.993 0.761 I
0.288 0.288 0.507 Cl
0.712 0.712 0.493 Cl
0.140 0.476 0.174 Cl
0.517 0.517 0.233 Cl
0.524 0.860 0.826 Cl
0.476 0.140 0.174 Cl
0.483 0.483 0.767 Cl
0.860 0.524 0.826 Cl
```

Values from the calculation:
Final energy ... -56.01 eV for the cell shown
Symmetry ... C2/m (12)
Crystal system ... monoclinic


[12]
This record from Alexandria via LeMat-Bulk describes a geometry-optimized Tm4MgCd2 structure. The functional is GGA-PBE.

```
Tm4MgCd2
1.0
-3.298 3.781 -1.325
-5.106 -0.667 0.646
-2.254 4.159 7.317
Tm Mg Cd
4 1 2
Direct
0.868 0.868 0.396 Tm
0.132 0.132 0.604 Tm
0.612 0.612 0.165 Tm
0.388 0.388 0.835 Tm
0.000 0.000 0.000 Mg
0.741 0.741 0.776 Cd
0.259 0.259 0.224 Cd
```

Values from the calculation:
Final energy ... -21.85 eV for the cell shown
Symmetry ... R-3m (166)
Crystal system ... trigonal
Energy above the lowest structure with this stoichiometry ... 0.0 meV/atom
DOS at the Fermi energy ... 8.12 states/eV per cell
ΔE_f ... -0.077 eV per atom


[13]
This record from Alexandria via LeMat-Bulk describes a geometry-optimized ScPdF2 structure. The functional is GGA-PBE.

```
ScPdF2
1.0
-1.383 6.958 5.779
0.448 5.289 7.453
1.578 7.187 5.439
Sc Pd F
1 1 2
Direct
0.500 0.500 0.500 Sc
0.000 0.000 0.000 Pd
0.879 0.879 0.879 F
0.121 0.121 0.121 F
```

Values from the calculation:
Final energy ... -23.13 eV for the cell shown
Symmetry ... R-3m (166)
Crystal system ... trigonal
Energy above the lowest structure with this stoichiometry ... 11.7 meV/atom
DOS at the Fermi energy ... 6.50 states/eV per cell